i:
MgAlPd4 after structural relaxation. Source: Alexandria via LeMat-Bulk, functional PBE-GGA.

```
data_MgAlPd4
_cell_length_a 7.224
_cell_length_b 4.142
_cell_length_c 7.298
_cell_angle_alpha 90.00
_cell_angle_beta 109.05
_cell_angle_gamma 90.00
_space_group_name_H-M_alt 'C 1 2/m 1'
_space_group_IT_number 12
_space_group_name_Hall '-C 2y'
loop_
_atom_site_label
_atom_site_type_symbol
_atom_site_fract_x
_atom_site_fract_y
_atom_site_fract_z
Mg1 Mg 0.000 0.000 0.000
Al1 Al 0.000 0.500 0.500
Pd1 Pd 0.121 0.500 0.860
Pd2 Pd 0.128 0.000 0.384
```

Output
Size of the total moment   0.00 μB per formula unit



ii:
MgAlPd4 after structural relaxation. Source: Alexandria via LeMat-Bulk, functional PBE-GGA.

```
data_MgAlPd4
_cell_length_a 7.258
_cell_length_b 2.946
_cell_length_c 17.286
_cell_angle_alpha 90.00
_cell_angle_beta 90.00
_cell_angle_gamma 90.00
_space_group_name_H-M_alt 'P n m a'
_space_group_IT_number 62
_space_group_name_Hall '-P 2ac 2n'
loop_
_atom_site_label
_atom_site_type_symbol
_atom_site_fract_x
_atom_site_fract_y
_atom_site_fract_z
Mg1 Mg 0.224 0.250 0.186
Al1 Al 0.248 0.250 0.948
Pd1 Pd 0.032 0.750 0.569
Pd2 Pd 0.037 0.750 0.292
Pd3 Pd 0.111 0.750 0.058
Pd4 Pd 0.142 0.750 0.837
```

Output
Size of the total moment   0.00 μB per formula unit



What should be chosen as the most stable of them? Choose ii.



i:
Mg2Al2Pd after structural relaxation. Source: Alexandria via LeMat-Bulk, functional PBE-GGA.

```
data_Mg2Al2Pd
_cell_length_a 6.579
_cell_length_b 6.579
_cell_length_c 4.343
_cell_angle_alpha 90.00
_cell_angle_beta 90.00
_cell_angle_gamma 90.00
_space_group_name_H-M_alt 'P 4/m b m'
_space_group_IT_number 127
_space_group_name_Hall '-P 4 2ab'
loop_
_atom_site_label
_atom_site_type_symbol
_atom_site_fract_x
_atom_site_fract_y
_atom_site_fract_z
Mg1 Mg 0.168 0.332 0.000
Al1 Al 0.140 0.640 0.500
Pd1 Pd 0.000 0.000 0.500
```

Output
Size of the total moment   0.00 μB per formula unit



ii:
Mg2Al2Pd after structural relaxation. Source: Alexandria via LeMat-Bulk, functional PBE-GGA.

```
data_Mg2Al2Pd
_cell_length_a 11.930
_cell_length_b 5.841
_cell_length_c 5.478
_cell_angle_alpha 90.00
_cell_angle_beta 100.63
_cell_angle_gamma 90.00
_space_group_name_H-M_alt 'C 1 2/c 1'
_space_group_IT_number 15
_space_group_name_Hall '-C 2yc'
loop_
_atom_site_label
_atom_site_type_symbol
_atom_site_fract_x
_atom_site_fract_y
_atom_site_fract_z
Mg1 Mg 0.114 0.139 0.060
Al1 Al 0.172 0.376 0.563
Pd1 Pd 0.000 0.465 0.750
```

Output
Size of the total moment   0.00 μB per formula unit



What should be chosen as the most stable of them? Choose ii.



i:
Mg16Al12Pd after structural relaxation. Source: Alexandria via LeMat-Bulk, functional PBE-GGA.

```
data_Mg16Al12Pd
_cell_length_a 10.468
_cell_length_b 14.692
_cell_length_c 9.060
_cell_angle_alpha 90.00
_cell_angle_beta 124.90
_cell_angle_gamma 90.00
_space_group_name_H-M_alt 'C 1 m 1'
_space_group_IT_number 8
_space_group_name_Hall 'C -2y'
loop_
_atom_site_label
_atom_site_type_symbol
_atom_site_fract_x
_atom_site_fract_y
_atom_site_fract_z
Mg1 Mg 0.000 0.000 0.000
Mg2 Mg 0.011 0.000 0.354
Mg3 Mg 0.061 0.345 0.405
Mg4 Mg 0.126 0.500 0.668
Mg5 Mg 0.160 0.159 0.604
Mg6 Mg 0.179 0.175 0.001
Mg7 Mg 0.195 0.500 0.299
Mg8 Mg 0.305 0.299 0.324
Mg9 Mg 0.460 0.128 0.992
Mg10 Mg 0.489 0.191 0.693
Al1 Al 0.010 0.188 0.190
Al2 Al 0.186 0.000 0.813
Al3 Al 0.241 0.409 0.019
Al4 Al 0.277 0.092 0.370
Al5 Al 0.323 0.315 0.824
Al6 Al 0.364 0.000 0.177
Al7 Al 0.409 0.407 0.642
Pd1 Pd 0.331 0.000 0.652
```

Output
Size of the total moment   0.00 μB per formula unit



ii:
Mg16Al12Pd after structural relaxation. Source: Alexandria via LeMat-Bulk, functional PBE-GGA.

```
data_Mg16Al12Pd
_cell_length_a 14.7029
_cell_length_b 14.7029
_cell_length_c 9.1698
_cell_angle_alpha 90.00
_cell_angle_beta 90.00
_cell_angle_gamma 120.00
_space_group_name_H-M_alt 'R 3 m'
_space_group_IT_number 160
_space_group_name_Hall 'R 3 -2"'
loop_
_atom_site_label
_atom_site_type_symbol
_atom_site_fract_x
_atom_site_fract_y
_atom_site_fract_z
Mg1 Mg 0.0000 0.0000 0.0000
Mg2 Mg 0.0161 0.3077 0.2928
Mg3 Mg 0.0633 0.5317 0.2048
Mg4 Mg 0.1840 0.0920 0.5031
Mg5 Mg 0.2168 0.4336 0.7734
Al1 Al 0.9999 0.1816 0.8072
Al2 Al 0.0630 0.1259 0.2791
Al3 Al 0.0764 0.5382 0.7166
Pd1 Pd 0.0000 0.0000 0.7122
```

Output
Size of the total moment   0.00 μB per formula unit



What should be chosen as the most stable of them? Choose i.



i:
PmMg2Al after structural relaxation. Source: Alexandria via LeMat-Bulk, functional PBE-GGA.

```
data_PmMg2Al
_cell_length_a 4.468
_cell_length_b 4.468
_cell_length_c 4.843
_cell_angle_alpha 90.00
_cell_angle_beta 90.00
_cell_angle_gamma 90.00
_space_group_name_H-M_alt 'P 4/m m m'
_space_group_IT_number 123
_space_group_name_Hall '-P 4 2'
loop_
_atom_site_label
_atom_site_type_symbol
_atom_site_fract_x
_atom_site_fract_y
_atom_site_fract_z
Pm1 Pm 0.000 0.000 0.000
Mg1 Mg 0.000 0.500 0.500
Al1 Al 0.500 0.500 0.000
```

Output
Size of the total moment   0.00 μB per formula unit



ii:
PmMg2Al after structural relaxation. Source: Alexandria via LeMat-Bulk, functional PBE-GGA.

```
data_PmMg2Al
_cell_length_a 5.078
_cell_length_b 5.078
_cell_length_c 7.195
_cell_angle_alpha 90.00
_cell_angle_beta 90.00
_cell_angle_gamma 90.00
_space_group_name_H-M_alt 'I -4 m 2'
_space_group_IT_number 119
_space_group_name_Hall 'I -4 -2'
loop_
_atom_site_label
_atom_site_type_symbol
_atom_site_fract_x
_atom_site_fract_y
_atom_site_fract_z
Pm1 Pm 0.000 0.000 0.000
Mg1 Mg 0.000 0.000 0.500
Mg2 Mg 0.000 0.500 0.750
Al1 Al 0.000 0.500 0.250
```

Output
Size of the total moment   0.00 μB per formula unit



What should be chosen as the most stable of them? Choose i.



i:
Pm2MgAl after structural relaxation. Source: Alexandria via LeMat-Bulk, functional PBE-GGA.

```
data_Pm2MgAl
_cell_length_a 5.293
_cell_length_b 5.293
_cell_length_c 3.832
_cell_angle_alpha 90.00
_cell_angle_beta 90.00
_cell_angle_gamma 90.00
_space_group_name_H-M_alt 'P 4/m m m'
_space_group_IT_number 123
_space_group_name_Hall '-P 4 2'
loop_
_atom_site_label
_atom_site_type_symbol
_atom_site_fract_x
_atom_site_fract_y
_atom_site_fract_z
Pm1 Pm 0.000 0.500 0.000
Mg1 Mg 0.000 0.000 0.500
Al1 Al 0.500 0.500 0.500
```

Output
Size of the total moment   0.00 μB per formula unit



ii:
Pm2MgAl after structural relaxation. Source: Alexandria via LeMat-Bulk, functional PBE-GGA.

```
data_Pm2MgAl
_cell_length_a 7.540
_cell_length_b 7.540
_cell_length_c 7.540
_cell_angle_alpha 90.00
_cell_angle_beta 90.00
_cell_angle_gamma 90.00
_space_group_name_H-M_alt 'F m -3 m'
_space_group_IT_number 225
_space_group_name_Hall '-F 4 2 3'
loop_
_atom_site_label
_atom_site_type_symbol
_atom_site_fract_x
_atom_site_fract_y
_atom_site_fract_z
Pm1 Pm 0.250 0.250 0.250
Mg1 Mg 0.000 0.000 0.000
Al1 Al 0.000 0.000 0.500
```

Output
Size of the total moment   0.00 μB per formula unit



What should be chosen as the most stable of them? Choose ii.



i:
Pr6MgAl3 after structural relaxation. Source: Alexandria via LeMat-Bulk, functional PBE-GGA.

```
data_Pr6MgAl3
_cell_length_a 8.728
_cell_length_b 7.883
_cell_length_c 12.189
_cell_angle_alpha 90.00
_cell_angle_beta 133.19
_cell_angle_gamma 90.00
_space_group_name_H-M_alt 'P 1 21/c 1'
_space_group_IT_number 14
_space_group_name_Hall '-P 2ybc'
loop_
_atom_site_label
_atom_site_type_symbol
_atom_site_fract_x
_atom_site_fract_y
_atom_site_fract_z
Pr1 Pr 0.021 0.111 0.252
Pr2 Pr 0.228 0.159 0.071
Pr3 Pr 0.399 0.638 0.068
Mg1 Mg 0.500 0.000 0.000
Al1 Al 0.000 0.000 0.500
Al2 Al 0.285 0.683 0.744
```

Output
Size of the total moment   0.00 μB per formula unit



ii:
Pr6MgAl3 after structural relaxation. Source: Alexandria via LeMat-Bulk, functional PBE-GGA.

```
data_Pr6MgAl3
_cell_length_a 9.654
_cell_length_b 5.296
_cell_length_c 11.834
_cell_angle_alpha 90.00
_cell_angle_beta 107.22
_cell_angle_gamma 90.00
_space_group_name_H-M_alt 'P 1 21/m 1'
_space_group_IT_number 11
_space_group_name_Hall '-P 2yb'
loop_
_atom_site_label
_atom_site_type_symbol
_atom_site_fract_x
_atom_site_fract_y
_atom_site_fract_z
Pr1 Pr 0.045 0.250 0.414
Pr2 Pr 0.154 0.750 0.181
Pr3 Pr 0.228 0.250 0.996
Pr4 Pr 0.324 0.750 0.792
Pr5 Pr 0.377 0.250 0.350
Pr6 Pr 0.395 0.250 0.623
Mg1 Mg 0.462 0.750 0.086
Al1 Al 0.039 0.750 0.878
Al2 Al 0.119 0.250 0.716
Al3 Al 0.272 0.750 0.473
```

Output
Size of the total moment   0.00 μB per formula unit



What should be chosen as the most stable of them? Choose ii.